[1]
The following is a PBE-GGA calculation of crystalline SnPbCl6 at its relaxed geometry, from Alexandria.

Formation energy from raw total energies, eV/atom: -0.978

a b c (Å): 6.750 12.087 6.671
angles (deg): 90.00 105.51 90.00
Space group C2/m (No. 12)
Unique sites:
Sn 0.000 0.000 0.000 [2 per cell]
Pb 0.000 0.500 0.500 [2 per cell]
Cl 0.209 0.146 0.220 [8 per cell]
Cl 0.239 0.000 0.776 [4 per cell]


[2]
The following is a PBE-GGA calculation of crystalline SnPb3Cl at its relaxed geometry, from Alexandria.

Offset from the most stable computed form, meV/atom: 0
Formation energy from raw total energies, eV/atom: 0.222

a b c (Å): 5.584 5.584 5.584
angles (deg): 90.00 90.00 90.00
Space group Pm-3m (No. 221)
Unique sites:
Sn 0.000 0.000 0.000 [1 per cell]
Pb 0.000 0.500 0.500 [3 per cell]
Cl 0.500 0.500 0.500 [1 per cell]


[3]
The following is a PBE-GGA calculation of crystalline SnPb2Cl at its relaxed geometry, from Alexandria.

Offset from the most stable computed form, meV/atom: 0
Formation energy from raw total energies, eV/atom: -0.297

a b c (Å): 3.661 3.661 8.541
angles (deg): 90.00 90.00 90.00
Space group P4/mmm (No. 123)
Unique sites:
Sn 0.000 0.000 0.000 [1 per cell]
Pb 0.500 0.500 0.253 [2 per cell]
Cl 0.000 0.000 0.500 [1 per cell]


[4]
The following is a PBE-GGA calculation of crystalline SnPb2Cl at its relaxed geometry, from Alexandria.

Offset from the most stable computed form, meV/atom: 255
Formation energy from raw total energies, eV/atom: -0.042

a b c (Å): 6.519 6.519 15.542
angles (deg): 90.00 90.00 90.00
Space group I-42d (No. 122)
Unique sites:
Sn 0.000 0.000 0.000 [4 per cell]
Pb 0.241 0.250 0.625 [8 per cell]
Cl 0.000 0.000 0.500 [4 per cell]


[5]
The following is a PBE-GGA calculation of crystalline SnPb2Cl at its relaxed geometry, from Alexandria.

Offset from the most stable computed form, meV/atom: 69
Formation energy from raw total energies, eV/atom: -0.227

a b c (Å): 4.4156 4.4156 23.7328
angles (deg): 90.00 90.00 120.00
Space group R3m (No. 160, hexagonal axes)
Unique sites:
Sn 0.0000 0.0000 0.0000 [3 per cell]
Pb 0.0000 0.0000 0.4034 [3 per cell]
Pb 0.0000 0.0000 0.5871 [3 per cell]
Cl 0.0000 0.0000 0.1797 [3 per cell]


[6]
The following is a PBE-GGA calculation of crystalline SnPbCl3 at its relaxed geometry, from Alexandria.

Formation energy from raw total energies, eV/atom: -0.883

a b c (Å): 7.414 4.756 9.495
angles (deg): 90.00 103.60 90.00
Space group P2_1/m (No. 11)
Unique sites:
Sn 0.097 0.250 0.070 [2 per cell]
Pb 0.284 0.250 0.607 [2 per cell]
Cl 0.054 0.750 0.643 [2 per cell]
Cl 0.332 0.250 0.913 [2 per cell]
Cl 0.446 0.250 0.338 [2 per cell]


[7]
The following is a PBE-GGA calculation of crystalline Sn3Pb5Cl12 at its relaxed geometry, from Alexandria.

Formation energy from raw total energies, eV/atom: -0.661

a b c (Å): 18.006 18.006 18.006
angles (deg): 90.00 90.00 90.00
Space group Ia-3d (No. 230)
Unique sites:
Sn 0.000 0.250 0.125 [24 per cell]
Pb 0.000 0.000 0.000 [16 per cell]
Pb 0.000 0.250 0.375 [24 per cell]
Cl 0.003 0.044 0.657 [96 per cell]


[8]
The following is a PBE-GGA calculation of crystalline SnPb2Cl at its relaxed geometry, from Alexandria.

Offset from the most stable computed form, meV/atom: 40
Formation energy from raw total energies, eV/atom: -0.257

a b c (Å): 4.4651 4.4651 22.4268
angles (deg): 90.00 90.00 120.00
Space group R-3m (No. 166, hexagonal axes)
Unique sites:
Sn 0.0000 0.0000 0.0000 [3 per cell]
Pb 0.0000 0.0000 0.2567 [6 per cell]
Cl 0.0000 0.0000 0.5000 [3 per cell]


[9]
The following is a PBE-GGA calculation of crystalline SnPbCl6 at its relaxed geometry, from Alexandria.

Formation energy from raw total energies, eV/atom: -0.980

a b c (Å): 6.6772 6.6772 18.3799
angles (deg): 90.00 90.00 120.00
Space group R-3 (No. 148, hexagonal axes)
Unique sites:
Sn 0.0000 0.0000 0.0000 [3 per cell]
Pb 0.0000 0.0000 0.5000 [3 per cell]
Cl 0.0175 0.6437 0.5895 [18 per cell]


[10]
The following is a PBE-GGA calculation of crystalline SnPb3Cl at its relaxed geometry, from Alexandria.

Offset from the most stable computed form, meV/atom: 94
Formation energy from raw total energies, eV/atom: 0.317

a b c (Å): 5.925 5.925 5.925
angles (deg): 90.00 90.00 90.00
Space group Pm-3m (No. 221)
Unique sites:
Sn 0.000 0.000 0.000 [1 per cell]
Pb 0.000 0.000 0.500 [3 per cell]
Cl 0.500 0.500 0.500 [1 per cell]


[11]
The following is a PBE-GGA calculation of crystalline Sn5Pb3Cl12 at its relaxed geometry, from Alexandria.

Formation energy from raw total energies, eV/atom: -0.638

a b c (Å): 17.436 17.436 17.436
angles (deg): 90.00 90.00 90.00
Space group Ia-3d (No. 230)
Unique sites:
Sn 0.000 0.000 0.000 [16 per cell]
Sn 0.000 0.250 0.375 [24 per cell]
Pb 0.000 0.250 0.125 [24 per cell]
Cl 0.033 0.080 0.640 [96 per cell]


[12]
The following is a PBE-GGA calculation of crystalline Sn3PbCl8 at its relaxed geometry, from Alexandria.

Formation energy from raw total energies, eV/atom: -1.011

a b c (Å): 13.369 8.672 8.002
angles (deg): 90.00 119.36 90.00
Space group C2/m (No. 12)
Unique sites:
Sn 0.000 0.000 0.000 [2 per cell]
Sn 0.250 0.250 0.500 [4 per cell]
Pb 0.000 0.500 0.000 [2 per cell]
Cl 0.005 0.247 0.247 [8 per cell]
Cl 0.246 0.000 0.256 [4 per cell]
Cl 0.249 0.500 0.260 [4 per cell]